# CsYP2S

An optimized crystal structure of CsYP2S (PBE-GGA, the Alexandria database).

a = 5.4911 Å, b = 5.4911 Å, c = 5.3783 Å
α = 90.00°, β = 90.00°, γ = 90.00°
Last column: nearest neighbours and their distance in Å.
Sites, in units of the cell vectors:
Cs (0.0000, 0.0000, 0.0000)  8 P 3.84, 4 S 3.88
Y (0.5000, 0.5000, 0.5000)  2 S 2.69, 4 P 2.75
P (0.0000, 0.5000, 0.5000)  2 Y 2.75
P (0.5000, 0.0000, 0.5000)  2 Y 2.75
S (0.5000, 0.5000, 0.0000)  2 Y 2.69

Summary:
E: -4.7315 eV per atom
Energy relative to the lowest polymorph listed for this composition: 0 meV per atom
Symmetry: P4/mmm
Total magnetization: 1.88 μB/f.u.
ρ: 3.23 g/cm³


# CrCo2

An optimized crystal structure of CrCo2 (PBE-GGA, the Alexandria database).

a = 2.9196 Å, b = 2.9196 Å, c = 7.8011 Å
α = 90.00°, β = 90.00°, γ = 90.00°
Last column: nearest neighbours and their distance in Å.
Sites, in units of the cell vectors:
Cr (0.0000, 0.0000, 0.0000)  10 Co 2.43-2.62
Cr (0.5000, 0.5000, 0.5000)  10 Co 2.43-2.62
Co (0.0000, 0.0000, 0.3362)  5 Cr 2.43-2.62, 5 Co 2.46-2.56
Co (0.0000, 0.0000, 0.6638)  5 Cr 2.43-2.62, 5 Co 2.46-2.56
Co (0.5000, 0.5000, 0.1638)  5 Cr 2.43-2.62, 5 Co 2.46-2.56
Co (0.5000, 0.5000, 0.8362)  5 Cr 2.43-2.62, 5 Co 2.46-2.56

Summary:
E: -7.7720 eV per atom
Symmetry: I4/mmm
Total magnetization: 2.34 μB/f.u.
ρ: 8.48 g/cm³


# Ti2AuF

An optimized crystal structure of Ti2AuF (PBE-GGA, the Alexandria database).

a = 6.2989 Å, b = 6.2989 Å, c = 6.2989 Å
α = 90.00°, β = 90.00°, γ = 90.00°
Last column: nearest neighbours and their distance in Å.
Sites, in units of the cell vectors:
Ti (0.2500, 0.2500, 0.2500)  4 F 2.73, 4 Au 2.73
Ti (0.2500, 0.2500, 0.7500)  4 F 2.73, 4 Au 2.73
Ti (0.2500, 0.7500, 0.2500)  4 F 2.73, 4 Au 2.73
Ti (0.2500, 0.7500, 0.7500)  4 F 2.73, 4 Au 2.73
Ti (0.7500, 0.2500, 0.2500)  4 F 2.73, 4 Au 2.73
Ti (0.7500, 0.2500, 0.7500)  4 F 2.73, 4 Au 2.73
Ti (0.7500, 0.7500, 0.2500)  4 F 2.73, 4 Au 2.73
Ti (0.7500, 0.7500, 0.7500)  4 F 2.73, 4 Au 2.73
Au (0.0000, 0.0000, 0.0000)  8 Ti 2.73
Au (0.0000, 0.5000, 0.5000)  8 Ti 2.73
Au (0.5000, 0.0000, 0.5000)  8 Ti 2.73
Au (0.5000, 0.5000, 0.0000)  8 Ti 2.73
F (0.0000, 0.0000, 0.5000)  8 Ti 2.73
F (0.0000, 0.5000, 0.0000)  8 Ti 2.73
F (0.5000, 0.0000, 0.0000)  8 Ti 2.73
F (0.5000, 0.5000, 0.5000)  8 Ti 2.73

Summary:
E: -5.8630 eV per atom
Energy relative to the lowest polymorph listed for this composition: 59 meV per atom
Symmetry: Fm-3m
Total magnetization: 0.00 μB/f.u.
ρ: 8.28 g/cm³